Below is a relaxed CrCd2Pd6 crystal, with properties calculated at the PBE level.

Computed properties:
electronic total energy = -4.814 eV/atom
density = 9.99 Mg/m³
SG = C2/m, No. 12
total magnetic moment = 3.435 μB per formula unit

Lattice parameters (Å, degrees): 2.844 7.667 8.095 118.27 100.49 90.00
Site moments in Bohr magnetons follow the coordinates.
Element x y z (fractional)
Cr: 0.000 0.000 0.000  3.06
Cd: 0.667 0.663 0.327  0.00
Cd: 0.333 0.337 0.673  0.00
Pd: 0.167 0.347 0.329  0.01
Pd: 0.833 0.018 0.671  0.01
Pd: 0.833 0.653 0.671  0.01
Pd: 0.500 0.291 0.000  0.04
Pd: 0.167 0.982 0.329  0.01
Pd: 0.500 0.709 0.000  0.04



Below is a relaxed CrCd2RePd crystal, with properties calculated at the PBE level.

Computed properties:
electronic total energy = -4.291 eV/atom
density = 7.94 Mg/m³
SG = P4/mmm, No. 123
total magnetic moment = 7.457 μB per formula unit

Lattice parameters (Å, degrees): 5.024 4.720 5.024 90.00 90.00 90.00
Site moments in Bohr magnetons follow the coordinates.
Element x y z (fractional)
Re: 0.500 0.500 0.500  2.99
Cr: 0.000 0.500 0.000  3.58
Pd: 0.000 0.000 0.000  0.14
Cd: 0.000 0.000 0.500  -0.04
Cd: 0.500 0.000 0.000  -0.04



Below is a relaxed CrCd2PdW crystal, with properties calculated at the PBE level.

Computed properties:
electronic total energy = -4.120 eV/atom
density = 8.74 Mg/m³
SG = P4/mmm, No. 123
total magnetic moment = 3.371 μB per formula unit

Lattice parameters (Å, degrees): 4.916 4.457 4.916 90.00 90.00 90.00
Site moments in Bohr magnetons follow the coordinates.
Element x y z (fractional)
Cr: 0.000 0.000 0.000  0.26
Pd: 0.000 0.500 0.000  -0.02
W: 0.500 0.500 0.500  2.51
Cd: 0.000 0.000 0.500  -0.01
Cd: 0.500 0.000 0.000  -0.02